# 1
Entry from the Alexandria database: a crystal of Cr2TeAs relaxed with PBEsol (meta-GGA SCAN).

a = 3.3805 Å, b = 3.3962 Å, c = 12.5351 Å
α = 90.00°, β = 90.00°, γ = 90.00°
Space group Amm2 (No. 38)
Symmetry-distinct sites (fractional):
Cr 0.0000 0.0000 0.0000 (multiplicity 2)
Cr 0.5000 0.0000 0.1870 (multiplicity 2)
Te 0.0000 0.0000 0.7872 (multiplicity 2)
As 0.5000 0.0000 0.5440 (multiplicity 2)

Summary:
* mass density: 7.07 g/cm3
* M_tot: 13.5 Bohr magnetons per cell
* formation energy (no corrections): -0.699 eV/f.u.
* total DFT energy (no corrections): -23.727 eV/atom

***

# 2
Entry from the Alexandria database: a crystal of CrTeAs relaxed with PBEsol (meta-GGA SCAN).

a = 3.0567 Å, b = 3.0567 Å, c = 12.0520 Å
α = 90.00°, β = 90.00°, γ = 90.00°
Space group I4mm (No. 107)
Symmetry-distinct sites (fractional):
Cr 0.0000 0.0000 0.0000 (multiplicity 2)
Te 0.0000 0.0000 0.6353 (multiplicity 2)
As 0.0000 0.0000 0.3851 (multiplicity 2)

Summary:
* mass density: 7.51 g/cm3
* M_tot: 1.4 Bohr magnetons per cell
* formation energy (no corrections): 0.516 eV/f.u.
* total DFT energy (no corrections): -25.103 eV/atom